(1)
# Sr2LiTh (PBE, optimized geometry)
# DFT formation energy = 0.42 eV per atom
data_Sr2LiTh
_space_group_name_H-M_alt 'R -3 m'
_space_group_IT_number 166
_space_group_name_Hall '-R 3 2"'
_cell_length_a 3.6679
_cell_length_b 3.6679
_cell_length_c 39.8225
_cell_angle_alpha 90.00
_cell_angle_beta 90.00
_cell_angle_gamma 120.00
loop_
_atom_site_label
_atom_site_type_symbol
_atom_site_fract_x
_atom_site_fract_y
_atom_site_fract_z
Sr1 Sr 0.0000 0.0000 0.0915
Li1 Li 0.0000 0.0000 0.5000
Th1 Th 0.0000 0.0000 0.0000

---

(2)
# Sr2LiTi (PBE, optimized geometry)
# DFT formation energy = 0.71 eV per atom
# E above lowest polymorph = 176.4 meV per atom
data_Sr2LiTi
_space_group_name_H-M_alt 'I -4 2 d'
_space_group_IT_number 122
_space_group_name_Hall 'I -4 2bw'
_cell_length_a 8.910
_cell_length_b 8.910
_cell_length_c 7.081
_cell_angle_alpha 90.00
_cell_angle_beta 90.00
_cell_angle_gamma 90.00
loop_
_atom_site_label
_atom_site_type_symbol
_atom_site_fract_x
_atom_site_fract_y
_atom_site_fract_z
Sr1 Sr 0.228 0.250 0.125
Li1 Li 0.000 0.000 0.000
Ti1 Ti 0.000 0.000 0.500

---

(3)
# Sr2LiTi2 (PBE, optimized geometry)
# DFT formation energy = 0.71 eV per atom
# E above lowest polymorph = 256.4 meV per atom
data_Sr2LiTi2
_space_group_name_H-M_alt 'P 4/m b m'
_space_group_IT_number 127
_space_group_name_Hall '-P 4 2ab'
_cell_length_a 9.790
_cell_length_b 9.790
_cell_length_c 3.491
_cell_angle_alpha 90.00
_cell_angle_beta 90.00
_cell_angle_gamma 90.00
loop_
_atom_site_label
_atom_site_type_symbol
_atom_site_fract_x
_atom_site_fract_y
_atom_site_fract_z
Sr1 Sr 0.201 0.299 0.000
Li1 Li 0.000 0.000 0.000
Ti1 Ti 0.079 0.579 0.500

---

(4)
# Sr2LiTi2 (PBE, optimized geometry)
# DFT formation energy = 0.46 eV per atom
# E above lowest polymorph = 0.0 meV per atom
data_Sr2LiTi2
_space_group_name_H-M_alt 'I 4/m m m'
_space_group_IT_number 139
_space_group_name_Hall '-I 4 2'
_cell_length_a 3.740
_cell_length_b 3.740
_cell_length_c 22.099
_cell_angle_alpha 90.00
_cell_angle_beta 90.00
_cell_angle_gamma 90.00
loop_
_atom_site_label
_atom_site_type_symbol
_atom_site_fract_x
_atom_site_fract_y
_atom_site_fract_z
Sr1 Sr 0.000 0.000 0.112
Li1 Li 0.000 0.000 0.500
Ti1 Ti 0.000 0.500 0.250

---

(5)
# SrLi3Ti (PBE, optimized geometry)
# DFT formation energy = 1.19 eV per atom
# E above lowest polymorph = 524.8 meV per atom
data_SrLi3Ti
_space_group_name_H-M_alt 'P m -3 m'
_space_group_IT_number 221
_space_group_name_Hall '-P 4 2 3'
_cell_length_a 5.168
_cell_length_b 5.168
_cell_length_c 5.168
_cell_angle_alpha 90.00
_cell_angle_beta 90.00
_cell_angle_gamma 90.00
loop_
_atom_site_label
_atom_site_type_symbol
_atom_site_fract_x
_atom_site_fract_y
_atom_site_fract_z
Sr1 Sr 0.000 0.000 0.000
Li1 Li 0.000 0.000 0.500
Ti1 Ti 0.500 0.500 0.500

---

(6)
# SrLi3Ti (PBE, optimized geometry)
# DFT formation energy = 0.67 eV per atom
# E above lowest polymorph = 0.0 meV per atom
data_SrLi3Ti
_space_group_name_H-M_alt 'P m -3 m'
_space_group_IT_number 221
_space_group_name_Hall '-P 4 2 3'
_cell_length_a 5.327
_cell_length_b 5.327
_cell_length_c 5.327
_cell_angle_alpha 90.00
_cell_angle_beta 90.00
_cell_angle_gamma 90.00
loop_
_atom_site_label
_atom_site_type_symbol
_atom_site_fract_x
_atom_site_fract_y
_atom_site_fract_z
Sr1 Sr 0.000 0.000 0.000
Li1 Li 0.000 0.500 0.500
Ti1 Ti 0.500 0.500 0.500

---

(7)
# Sr2LiTi (PBE, optimized geometry)
# DFT formation energy = 0.53 eV per atom
# E above lowest polymorph = 0.0 meV per atom
data_Sr2LiTi
_space_group_name_H-M_alt 'F m -3 m'
_space_group_IT_number 225
_space_group_name_Hall '-F 4 2 3'
_cell_length_a 8.273
_cell_length_b 8.273
_cell_length_c 8.273
_cell_angle_alpha 90.00
_cell_angle_beta 90.00
_cell_angle_gamma 90.00
loop_
_atom_site_label
_atom_site_type_symbol
_atom_site_fract_x
_atom_site_fract_y
_atom_site_fract_z
Sr1 Sr 0.250 0.250 0.250
Li1 Li 0.000 0.000 0.000
Ti1 Ti 0.000 0.000 0.500

---

(8)
# Sr6Li2Tl (PBE, optimized geometry)
# DFT formation energy = -0.10 eV per atom
data_Sr6Li2Tl
_space_group_name_H-M_alt 'F m m m'
_space_group_IT_number 69
_space_group_name_Hall '-F 2 2'
_cell_length_a 5.880
_cell_length_b 14.486
_cell_length_c 17.738
_cell_angle_alpha 90.00
_cell_angle_beta 90.00
_cell_angle_gamma 90.00
loop_
_atom_site_label
_atom_site_type_symbol
_atom_site_fract_x
_atom_site_fract_y
_atom_site_fract_z
Sr1 Sr 0.000 0.138 0.000
Sr2 Sr 0.000 0.142 0.337
Li1 Li 0.000 0.000 0.167
Tl1 Tl 0.000 0.000 0.500

---

(9)
# SrLiTl5 (PBE, optimized geometry)
# DFT formation energy = -0.14 eV per atom
# E above lowest polymorph = 30.4 meV per atom
data_SrLiTl5
_space_group_name_H-M_alt 'P 4/m m m'
_space_group_IT_number 123
_space_group_name_Hall '-P 4 2'
_cell_length_a 4.870
_cell_length_b 4.870
_cell_length_c 8.610
_cell_angle_alpha 90.00
_cell_angle_beta 90.00
_cell_angle_gamma 90.00
loop_
_atom_site_label
_atom_site_type_symbol
_atom_site_fract_x
_atom_site_fract_y
_atom_site_fract_z
Sr1 Sr 0.000 0.000 0.000
Li1 Li 0.500 0.500 0.500
Tl1 Tl 0.000 0.500 0.310
Tl2 Tl 0.500 0.500 0.000

---

(10)
# Sr2LiTl2 (PBE, optimized geometry)
# DFT formation energy = -0.32 eV per atom
# E above lowest polymorph = 0.0 meV per atom
data_Sr2LiTl2
_space_group_name_H-M_alt 'C 1 2/m 1'
_space_group_IT_number 12
_cell_length_a 11.731
_cell_length_b 5.064
_cell_length_c 12.343
_cell_angle_alpha 90.00
_cell_angle_beta 117.31
_cell_angle_gamma 90.00
loop_
_space_group_symop_operation_xyz
'x,y,z'
'-x,-y,-z'
'-x,y,-z'
'x,-y,z'
'x+1/2,y+1/2,z'
'-x+1/2,-y+1/2,-z'
'-x+1/2,y+1/2,-z'
'x+1/2,-y+1/2,z'
loop_
_atom_site_label
_atom_site_type_symbol
_atom_site_fract_x
_atom_site_fract_y
_atom_site_fract_z
Sr1 Sr 0.008 0.000 0.332
Sr2 Sr 0.191 0.000 0.106
Li1 Li 0.220 0.500 0.365
Tl1 Tl 0.008 0.500 0.878
Tl2 Tl 0.151 0.500 0.573